! GGA+U LiCoC4O4, optimized geometry; values from VASP
! * magnetic moment: 0.000 μB/cell
! * energy: -70.82 eV for the cell shown
! * symmetry: P-43m, No. 215
&SYSTEM
  ibrav = 0, nat = 10, ntyp = 4
/
ATOMIC_SPECIES
C 12.01 C.upf
Co 58.93 Co.upf
Li 6.94 Li.upf
O 16.00 O.upf
CELL_PARAMETERS angstrom
5.518 0.000 0.000
0.000 5.518 0.000
0.000 0.000 5.518
ATOMIC_POSITIONS crystal
C 0.321 0.321 0.321
C 0.679 0.679 0.321
C 0.679 0.321 0.679
C 0.321 0.679 0.679
Co 0.500 0.500 0.500
Li 0.000 0.000 0.000
O 0.198 0.198 0.198
O 0.802 0.802 0.198
O 0.802 0.198 0.802
O 0.198 0.802 0.802